1.
Computed, not measured: a relaxed ZrVTe2Br crystal at the PBE level of DFT.

Values from the calculation:
The size of the total moment comes out at 0.01 μB per formula unit. The electronic total energy comes out at -0.13920 hartree per atom. The density of states at the Fermi level is 10.37 states/eV/f.u. The formation energy from raw total energies comes out at 645 kJ/mol of formula units. As for the space group: P4/mmm.

a b c (Å): 5.688 5.688 4.849
angles (deg): 90.00 90.00 90.00
Sites, in units of the cell vectors:
Zr 0.000 0.000 0.000
V 0.500 0.500 0.000
Te 0.000 0.500 0.500
Te 0.500 0.000 0.500
Br 0.000 0.000 0.500

2.
Computed, not measured: a relaxed SiBiAs2Se crystal at the PBE level of DFT.

Values from the calculation:
The size of the total moment comes out at 0.00 μB per formula unit. The energy above the most stable polymorph in this dataset is 0 meV per atom. The electronic total energy comes out at -0.14848 hartree per atom. The density of states at the Fermi level is 4.34 states/eV/f.u. The formation energy from raw total energies comes out at 182 kJ/mol of formula units. As for the space group: P4/mmm.

a b c (Å): 4.876 4.876 4.835
angles (deg): 90.00 90.00 90.00
Sites, in units of the cell vectors:
Si 0.000 0.000 0.000
Bi 0.500 0.500 0.500
As 0.000 0.500 0.000
As 0.500 0.000 0.000
Se 0.000 0.000 0.500

> What is the size of the total moment in the second record?

0.00 μB per formula unit

> Which of these has the highest size of the total moment?

ZrVTe2Br

> Among the records above, which one has the highest electronic total energy?

ZrVTe2Br

> Look up the size of the total moment of the second one.

0.00 μB per formula unit